BeAs2PbSe: optimized geometry, PBE.

```
BeAs2PbSe
1.0
-3.1132 -4.2089 2.2436
3.4170 -3.8374 -2.4573
3.2803 0.0029 4.5571
Pb As Se Be
1 2 1 1
direct
0.0000 0.0000 0.0000
0.0000 0.5000 0.0000
0.5000 0.0000 0.0000
0.0000 0.0000 0.5000
0.5000 0.5000 0.5000
```

Output
**Energy above the lowest structure with this stoichiometry**: 117.6 kJ per mole of atoms
**Symmetry**: P4/mmm